Density functional theory data (GGA+U) for a geometry-optimized NaNdV2O8 structure.

Unit cell a=5.9278 b=5.9278 c=6.9523 alpha=90.00 beta=90.00 gamma=120.00
Sites, in units of the cell vectors:
Na (0.0000, 0.0000, 0.0000)
Nd (0.0000, 0.0000, 0.5000)
V (0.3333, 0.6667, 0.1948)
V (0.6667, 0.3333, 0.8052)
O (0.1718, 0.3436, 0.2750)
O (0.1718, 0.8282, 0.2750)
O (0.3333, 0.6667, 0.9486)
O (0.3436, 0.1718, 0.7250)
O (0.6564, 0.8282, 0.2750)
O (0.6667, 0.3333, 0.0514)
O (0.8282, 0.1718, 0.7250)
O (0.8282, 0.6564, 0.7250)

Results
Calculated total energy: -6.9223 eV per atom
Spin magnetization: 0.1681 μB per atom
DOS(E_F): 11.908 states/eV per cell